1.
The following is a DFT calculation (PBE-GGA) of a relaxed KOs3W crystal.

Computed properties:
Density of states at the Fermi level = 1.639 states/eV per atom
Calculated volume = 113 Å³/f.u.
Excess energy over the best structure of this formula in the dataset = 0 meV/atom
Crystal system = cubic
Raw total energy = -37.52 eV per cell

a b c (Å): 4.836 4.836 4.836
angles (deg): 90.00 90.00 90.00
Space group Pm-3m (No. 221)
One atom of each set of equivalent atoms:
K (0.000, 0.000, 0.000) x1
Os (0.000, 0.500, 0.500) x3
W (0.500, 0.500, 0.500) x1

---

2.
The following is a DFT calculation (PBE-GGA) of a relaxed KOsW2 crystal.

Computed properties:
Density of states at the Fermi level = 0.874 states/eV per atom
Calculated volume = 92 Å³/f.u.
Excess energy over the best structure of this formula in the dataset = 124 meV/atom
Crystal system = orthorhombic
Raw total energy = -34.45 eV per cell

a b c (Å): 2.787 4.049 8.149
angles (deg): 90.00 90.00 90.00
Space group Pmm2 (No. 25)
One atom of each set of equivalent atoms:
K (0.000, 0.000, 0.000) x1
Os (0.500, 0.500, 0.341) x1
W (0.000, 0.000, 0.468) x1
W (0.500, 0.500, 0.642) x1

---

3.
The following is a DFT calculation (PBE-GGA) of a relaxed KOsW2 crystal.

Computed properties:
Density of states at the Fermi level = 0.889 states/eV per atom
Calculated volume = 79 Å³/f.u.
Excess energy over the best structure of this formula in the dataset = 102 meV/atom
Crystal system = tetragonal
Raw total energy = -34.54 eV per cell

a b c (Å): 2.803 2.803 10.115
angles (deg): 90.00 90.00 90.00
Space group P4/mmm (No. 123)
One atom of each set of equivalent atoms:
K (0.000, 0.000, 0.000) x1
Os (0.000, 0.000, 0.500) x1
W (0.500, 0.500, 0.314) x2

---

4.
The following is a DFT calculation (PBE-GGA) of a relaxed K4OsW crystal.

Computed properties:
Density of states at the Fermi level = 0.999 states/eV per atom
Calculated volume = 193 Å³/f.u.
Crystal system = cubic
Raw total energy = -62.93 eV per cell

a b c (Å): 9.181 9.181 9.181
angles (deg): 90.00 90.00 90.00
Space group F-43m (No. 216)
One atom of each set of equivalent atoms:
K (0.124, 0.124, 0.124) x16
Os (0.250, 0.250, 0.750) x4
W (0.000, 0.000, 0.500) x4

---

5.
The following is a DFT calculation (PBE-GGA) of a relaxed KOsW4 crystal.

Computed properties:
Density of states at the Fermi level = 0.805 states/eV per atom
Calculated volume = 109 Å³/f.u.
Crystal system = cubic
Raw total energy = -227.29 eV per cell

a b c (Å): 7.586 7.586 7.586
angles (deg): 90.00 90.00 90.00
Space group F-43m (No. 216)
One atom of each set of equivalent atoms:
K (0.000, 0.000, 0.000) x4
Os (0.250, 0.250, 0.750) x4
W (0.126, 0.126, 0.374) x16

---

6.
The following is a DFT calculation (PBE-GGA) of a relaxed KOsW2 crystal.

Computed properties:
Density of states at the Fermi level = 0.986 states/eV per atom
Calculated volume = 70 Å³/f.u.
Excess energy over the best structure of this formula in the dataset = 806 meV/atom
Crystal system = cubic
Raw total energy = -126.87 eV per cell

a b c (Å): 6.527 6.527 6.527
angles (deg): 90.00 90.00 90.00
Space group F-43m (No. 216)
One atom of each set of equivalent atoms:
K (0.000, 0.000, 0.000) x4
Os (0.250, 0.250, 0.250) x4
W (0.000, 0.000, 0.500) x4
W (0.250, 0.250, 0.750) x4

---

7.
The following is a DFT calculation (PBE-GGA) of a relaxed KOsW2 crystal.

Computed properties:
Density of states at the Fermi level = 1.529 states/eV per atom
Calculated volume = 72 Å³/f.u.
Excess energy over the best structure of this formula in the dataset = 1224 meV/atom
Crystal system = tetragonal
Raw total energy = -30.05 eV per cell

a b c (Å): 3.974 3.974 4.569
angles (deg): 90.00 90.00 90.00
Space group P4/mmm (No. 123)
One atom of each set of equivalent atoms:
K (0.000, 0.000, 0.000) x1
Os (0.500, 0.500, 0.000) x1
W (0.000, 0.500, 0.500) x2

---

8.
The following is a DFT calculation (PBE-GGA) of a relaxed KOsW2 crystal.

Computed properties:
Density of states at the Fermi level = 1.032 states/eV per atom
Calculated volume = 72 Å³/f.u.
Excess energy over the best structure of this formula in the dataset = 875 meV/atom
Crystal system = orthorhombic
Raw total energy = -31.44 eV per cell

a b c (Å): 2.708 5.108 5.197
angles (deg): 90.00 90.00 90.00
Space group Pmmm (No. 47)
One atom of each set of equivalent atoms:
K (0.000, 0.000, 0.000) x1
Os (0.500, 0.000, 0.500) x1
W (0.000, 0.500, 0.500) x1
W (0.500, 0.500, 0.000) x1

---

9.
The following is a DFT calculation (PBE-GGA) of a relaxed KOsW2 crystal.

Computed properties:
Density of states at the Fermi level = 1.223 states/eV per atom
Calculated volume = 75 Å³/f.u.
Excess energy over the best structure of this formula in the dataset = 149 meV/atom
Crystal system = orthorhombic
Raw total energy = -68.69 eV per cell

a b c (Å): 2.980 4.649 10.772
angles (deg): 90.00 90.00 90.00
Space group Cmmm (No. 65)
One atom of each set of equivalent atoms:
K (0.000, 0.000, 0.000) x2
Os (0.000, 0.000, 0.500) x2
W (0.000, 0.500, 0.292) x4

---

10.
The following is a DFT calculation (PBE-GGA) of a relaxed KOsW2 crystal.

Computed properties:
Density of states at the Fermi level = 0.674 states/eV per atom
Calculated volume = 75 Å³/f.u.
Excess energy over the best structure of this formula in the dataset = 47 meV/atom
Crystal system = trigonal
Raw total energy = -104.26 eV per cell

a b c (Å): 2.8183 2.8183 32.5818
angles (deg): 90.00 90.00 120.00
Space group R-3m (No. 166, hexagonal axes)
One atom of each set of equivalent atoms:
K (0.0000, 0.0000, 0.0000) x3
Os (0.0000, 0.0000, 0.5000) x3
W (0.0000, 0.0000, 0.2354) x6

---

11.
The following is a DFT calculation (PBE-GGA) of a relaxed KOsW2 crystal.

Computed properties:
Density of states at the Fermi level = 0.789 states/eV per atom
Calculated volume = 70 Å³/f.u.
Excess energy over the best structure of this formula in the dataset = 703 meV/atom
Crystal system = monoclinic
Raw total energy = -64.26 eV per cell

a b c (Å): 5.710 9.786 2.638
angles (deg): 90.00 107.23 90.00
Space group C2/m (No. 12)
One atom of each set of equivalent atoms:
K (0.000, 0.000, 0.000) x2
Os (0.000, 0.500, 0.000) x2
W (0.250, 0.250, 0.500) x4

---

12.
The following is a DFT calculation (PBE-GGA) of a relaxed KOsW2 crystal.

Computed properties:
Density of states at the Fermi level = 0.658 states/eV per atom
Calculated volume = 91 Å³/f.u.
Excess energy over the best structure of this formula in the dataset = 79 meV/atom
Crystal system = monoclinic
Raw total energy = -34.63 eV per cell

a b c (Å): 2.775 3.950 8.400
angles (deg): 90.00 99.08 90.00
Space group P2/m (No. 10)
One atom of each set of equivalent atoms:
K (0.000, 0.000, 0.000) x1
Os (0.500, 0.000, 0.500) x1
W (0.068, 0.500, 0.650) x2

---

13.
The following is a DFT calculation (PBE-GGA) of a relaxed KOs3W crystal.

Computed properties:
Density of states at the Fermi level = 2.228 states/eV per atom
Calculated volume = 89 Å³/f.u.
Excess energy over the best structure of this formula in the dataset = 1854 meV/atom
Crystal system = cubic
Raw total energy = -28.25 eV per cell

a b c (Å): 4.463 4.463 4.463
angles (deg): 90.00 90.00 90.00
Space group Pm-3m (No. 221)
One atom of each set of equivalent atoms:
K (0.000, 0.000, 0.000) x1
Os (0.000, 0.000, 0.500) x3
W (0.500, 0.500, 0.500) x1

---

14.
The following is a DFT calculation (PBE-GGA) of a relaxed KOsW2 crystal.

Computed properties:
Density of states at the Fermi level = 0.892 states/eV per atom
Calculated volume = 91 Å³/f.u.
Excess energy over the best structure of this formula in the dataset = 379 meV/atom
Crystal system = monoclinic
Raw total energy = -66.85 eV per cell

a b c (Å): 9.405 2.706 7.192
angles (deg): 90.00 94.55 90.00
Space group C2/m (No. 12)
One atom of each set of equivalent atoms:
K (0.000, 0.000, 0.000) x2
Os (0.000, 0.500, 0.500) x2
W (0.224, 0.000, 0.650) x4

---

15.
The following is a DFT calculation (PBE-GGA) of a relaxed KYOs2 crystal.

Computed properties:
Density of states at the Fermi level = 0.497 states/eV per atom
Calculated volume = 105 Å³/f.u.
Excess energy over the best structure of this formula in the dataset = 814 meV/atom
Crystal system = tetragonal
Raw total energy = -101.59 eV per cell

a b c (Å): 4.568 4.568 20.123
angles (deg): 90.00 90.00 90.00
Space group I-42d (No. 122)
One atom of each set of equivalent atoms:
K (0.000, 0.000, 0.000) x4
Y (0.000, 0.000, 0.500) x4
Os (0.106, 0.250, 0.625) x8